Record 1
Ag2HgAu2 | PBEsol | optimized geometry

Results
ΔE to the lowest computed polymorph in kJ/mol of atoms: 0.00
Energy of formation in eV/atom: 0.0405
ρ in g/cm3: 14.48
Electronic total energy in eV/atom: -2.967

```
10
Lattice="7.295 0.000 0.000 0.000 7.295 0.000 0.000 0.000 3.493" Properties=species:S:1:pos:R:3 pbc="T T T"
Ag 1.176 2.471 0.000
Ag 2.471 6.118 0.000
Ag 4.824 1.176 0.000
Ag 6.118 4.824 0.000
Hg 0.000 0.000 1.747
Hg 3.647 3.647 1.747
Au 0.992 4.639 1.747
Au 2.656 0.992 1.747
Au 4.639 6.303 1.747
Au 6.303 2.656 1.747
```


Record 2
Ta14Rh | PBEsol | optimized geometry

Results
Energy of formation in eV/atom: -0.0697
ρ in g/cm3: 16.50
Electronic total energy in eV/atom: -12.327

```
30
Lattice="10.027 0.000 0.000 0.000 10.027 0.000 0.000 0.000 5.276" Properties=species:S:1:pos:R:3 pbc="T T T"
Ta 0.360 3.707 0.000
Ta 0.658 2.572 2.638
Ta 1.022 1.022 0.000
Ta 1.306 5.374 2.638
Ta 1.832 8.195 1.305
Ta 1.832 8.195 3.971
Ta 2.441 5.672 0.000
Ta 2.572 0.658 2.638
Ta 3.181 3.181 1.333
Ta 3.181 3.181 3.943
Ta 3.707 0.360 0.000
Ta 3.992 6.035 2.638
Ta 4.355 7.585 0.000
Ta 4.653 8.721 2.638
Ta 5.374 1.306 2.638
Ta 5.672 2.441 0.000
Ta 6.035 3.992 2.638
Ta 6.319 9.666 0.000
Ta 6.845 6.845 1.333
Ta 6.845 6.845 3.943
Ta 7.455 9.368 2.638
Ta 7.585 4.355 0.000
Ta 8.195 1.832 1.305
Ta 8.195 1.832 3.971
Ta 8.721 4.653 2.638
Ta 9.005 9.005 0.000
Ta 9.368 7.455 2.638
Ta 9.666 6.319 0.000
Rh 0.000 0.000 2.638
Rh 5.013 5.013 0.000
```


Record 3
Sr2ZrTa2 | PBEsol | optimized geometry

Results
Energy of formation in eV/atom: 1.0229
ρ in g/cm3: 6.86
Electronic total energy in eV/atom: -6.552

```
5
Lattice="-1.812 1.812 11.580 1.812 -1.812 11.580 1.812 1.812 -11.580" Properties=species:S:1:pos:R:3 pbc="T T T"
Sr 0.000 0.000 2.641
Sr 0.000 0.000 20.519
Zr 0.000 0.000 11.580
Ta 1.812 0.000 5.790
Ta 0.000 1.812 5.790
```


Record 4
KSbS2O8 | PBEsol | optimized geometry

Results
Formation energy without anion corrections in meV per atom: -1539.9
ρ in g/cm3: 3.38
Electronic total energy in eV/atom: -6.244

```
48
Lattice="10.532 0.000 0.000 0.000 7.386 0.000 -0.206 0.000 8.907" Properties=species:S:1:pos:R:3 pbc="T T T"
K 0.981 1.266 2.831
K 0.878 2.428 7.284
K 9.448 4.959 1.623
K 9.345 6.121 6.076
Sb 3.902 5.254 6.164
Sb 4.005 5.825 1.711
Sb 6.321 1.561 7.196
Sb 6.424 2.132 2.743
S 1.584 5.147 3.830
S 1.481 5.932 8.284
S 3.946 1.548 0.721
S 3.843 2.145 5.174
S 6.483 5.241 3.733
S 6.380 5.838 8.186
S 8.845 1.454 0.623
S 8.742 2.239 5.076
O 0.341 5.026 8.272
O 0.444 6.054 3.819
O 1.437 4.014 2.936
O 1.334 7.066 7.390
O 1.893 4.711 5.245
O 1.996 6.369 0.792
O 2.513 1.595 5.125
O 2.616 2.098 0.672
O 2.751 5.116 7.909
O 2.854 5.963 3.455
O 4.024 0.491 1.858
O 3.921 3.202 6.312
O 4.183 0.933 8.369
O 4.286 2.760 3.915
O 4.844 1.113 5.625
O 4.947 2.580 1.171
O 5.379 4.806 7.736
O 5.482 6.273 3.282
O 6.040 4.626 4.991
O 6.143 6.453 0.538
O 6.405 4.184 2.595
O 6.302 6.895 7.049
O 7.472 1.423 5.452
O 7.575 2.270 0.998
O 7.710 5.288 8.235
O 7.813 5.792 3.782
O 8.330 1.018 8.115
O 8.433 2.676 3.662
O 8.992 0.321 1.517
O 8.889 3.373 5.970
O 9.882 1.332 5.088
O 9.985 2.361 0.634
```